*1*
Tl2Hg2Pd | PBE | optimized geometry

a = 7.291 Å, b = 7.291 Å, c = 5.262 Å
α = 90.00°, β = 90.00°, γ = 90.00°
Sites, in units of the cell vectors:
Tl: 0.336 0.836 0.000
Tl: 0.836 0.664 0.000
Tl: 0.664 0.164 0.000
Tl: 0.164 0.336 0.000
Hg: 0.161 0.661 0.500
Hg: 0.661 0.839 0.500
Hg: 0.839 0.339 0.500
Hg: 0.339 0.161 0.500
Pd: 0.000 0.000 0.000
Pd: 0.500 0.500 0.000

Calculated volume in Å³/f.u.: 140
Symmetry: P4/mbm (127)
DOS(E_F) in states/eV/atom: 0.376

---

*2*
Tl2Hg2Pd | PBE | optimized geometry

a = 7.222 Å, b = 7.222 Å, c = 5.121 Å
α = 90.00°, β = 90.00°, γ = 90.00°
Sites, in units of the cell vectors:
Tl: 0.178 0.678 0.500
Tl: 0.678 0.822 0.500
Tl: 0.822 0.322 0.500
Tl: 0.322 0.178 0.500
Hg: 0.353 0.853 0.000
Hg: 0.853 0.647 0.000
Hg: 0.647 0.147 0.000
Hg: 0.147 0.353 0.000
Pd: 0.000 0.000 0.000
Pd: 0.500 0.500 0.000

Calculated volume in Å³/f.u.: 134
Symmetry: P4/mbm (127)
DOS(E_F) in states/eV/atom: 0.370

---

Least stable = *1*

---

*1*
Tl2Hg2Pd | PBE | optimized geometry

a = 7.202 Å, b = 6.576 Å, c = 6.576 Å
α = 112.94°, β = 104.56°, γ = 104.56°
Sites, in units of the cell vectors:
Tl: 0.748 0.364 0.761
Tl: 0.252 0.636 0.239
Tl: 0.748 0.761 0.364
Tl: 0.252 0.239 0.636
Hg: 0.413 0.201 0.201
Hg: 0.144 0.730 0.730
Hg: 0.856 0.270 0.270
Hg: 0.587 0.799 0.799
Pd: 0.000 0.125 0.875
Pd: 0.000 0.875 0.125

Calculated volume in Å³/f.u.: 128
Symmetry: C2/m (12)
DOS(E_F) in states/eV/atom: 0.312

---

*2*
Tl2Hg2Pd | PBE | optimized geometry

a = 3.965 Å, b = 3.965 Å, c = 9.134 Å
α = 77.46°, β = 77.46°, γ = 90.00°
Sites, in units of the cell vectors:
Tl: 0.413 0.413 0.174
Tl: 0.587 0.587 0.826
Hg: 0.750 0.250 0.500
Hg: 0.250 0.750 0.500
Pd: 0.000 0.000 0.000

Calculated volume in Å³/f.u.: 137
Symmetry: I4/mmm (139)
DOS(E_F) in states/eV/atom: 0.372

---

Least stable = *2*

---

*1*
Tl2Hg3Pd8 | PBE | optimized geometry

a = 5.411 Å, b = 7.410 Å, c = 7.973 Å
α = 117.69°, β = 105.20°, γ = 90.00°
Sites, in units of the cell vectors:
Tl: 0.304 0.341 0.681
Tl: 0.696 0.659 0.319
Hg: 0.500 0.000 0.000
Hg: 0.000 0.270 0.000
Hg: 0.000 0.730 0.000
Pd: 0.196 0.674 0.349
Pd: 0.804 0.326 0.651
Pd: 0.953 0.149 0.297
Pd: 0.047 0.851 0.703
Pd: 0.563 0.661 0.681
Pd: 0.563 0.020 0.681
Pd: 0.437 0.980 0.319
Pd: 0.437 0.339 0.319

Calculated volume in Å³/f.u.: 270
Symmetry: C2/m (12)
DOS(E_F) in states/eV/atom: 0.600

---

*2*
Tl2Hg3Pd8 | PBE | optimized geometry

a = 4.582 Å, b = 8.336 Å, c = 8.336 Å
α = 51.74°, β = 90.00°, γ = 90.00°
Sites, in units of the cell vectors:
Tl: 0.500 0.771 0.771
Tl: 0.500 0.229 0.229
Hg: 0.500 0.000 0.000
Hg: 0.000 0.700 0.300
Hg: 0.000 0.300 0.700
Pd: 0.000 0.335 0.335
Pd: 0.000 0.665 0.665
Pd: 0.000 0.877 0.877
Pd: 0.000 0.123 0.123
Pd: 0.500 0.411 0.811
Pd: 0.500 0.811 0.411
Pd: 0.500 0.189 0.589
Pd: 0.500 0.589 0.189

Calculated volume in Å³/f.u.: 250
Symmetry: Cmmm (65)
DOS(E_F) in states/eV/atom: 0.339

---

Least stable = *1*

---

*1*
TlHgPd4 | PBE | optimized geometry

a = 5.400 Å, b = 5.400 Å, c = 5.400 Å
α = 60.00°, β = 60.00°, γ = 60.00°
Sites, in units of the cell vectors:
Tl: 0.250 0.250 0.250
Hg: 0.000 0.000 0.000
Pd: 0.625 0.625 0.125
Pd: 0.625 0.125 0.625
Pd: 0.625 0.625 0.625
Pd: 0.125 0.625 0.625

Calculated volume in Å³/f.u.: 111
Symmetry: F-43m (216)
DOS(E_F) in states/eV/atom: 1.423

---

*2*
TlHgPd4 | PBE | optimized geometry

a = 3.077 Å, b = 5.019 Å, c = 7.450 Å
α = 97.78°, β = 78.08°, γ = 72.15°
Sites, in units of the cell vectors:
Tl: 0.500 0.500 0.500
Hg: 0.000 0.000 0.000
Pd: 0.833 0.501 0.834
Pd: 0.334 0.999 0.333
Pd: 0.167 0.499 0.166
Pd: 0.666 0.001 0.667

Calculated volume in Å³/f.u.: 105
Symmetry: C2/m (12)
DOS(E_F) in states/eV/atom: 0.398

---

Least stable = *1*

---

*1*
TlHgPd6 | PBE | optimized geometry

a = 4.695 Å, b = 5.757 Å, c = 5.757 Å
α = 119.93°, β = 90.00°, γ = 90.00°
Sites, in units of the cell vectors:
Tl: 0.500 0.416 0.584
Hg: 0.000 0.083 0.917
Pd: 0.000 0.078 0.413
Pd: 0.000 0.587 0.922
Pd: 0.000 0.587 0.413
Pd: 0.500 0.420 0.086
Pd: 0.500 0.914 0.580
Pd: 0.500 0.914 0.086

Calculated volume in Å³/f.u.: 135
Symmetry: Amm2 (38)
DOS(E_F) in states/eV/atom: 1.273

---

*2*
TlHgPd6 | PBE | optimized geometry

a = 4.067 Å, b = 4.067 Å, c = 8.141 Å
α = 90.00°, β = 90.00°, γ = 90.00°
Sites, in units of the cell vectors:
Tl: 0.000 0.000 0.500
Hg: 0.000 0.000 0.000
Pd: 0.500 0.500 0.000
Pd: 0.500 0.500 0.500
Pd: 0.500 0.000 0.249
Pd: 0.500 0.000 0.751
Pd: 0.000 0.500 0.249
Pd: 0.000 0.500 0.751

Calculated volume in Å³/f.u.: 135
Symmetry: P4/mmm (123)
DOS(E_F) in states/eV/atom: 1.543

---

Least stable = *2*

---

*1*
Tl2HgPd2 | PBE | optimized geometry

a = 4.331 Å, b = 4.331 Å, c = 7.002 Å
α = 71.98°, β = 71.98°, γ = 90.00°
Sites, in units of the cell vectors:
Tl: 0.750 0.250 0.500
Tl: 0.250 0.750 0.500
Hg: 0.000 0.000 0.000
Pd: 0.395 0.395 0.210
Pd: 0.605 0.605 0.790

Calculated volume in Å³/f.u.: 118
Symmetry: I4/mmm (139)
DOS(E_F) in states/eV/atom: 0.327

---

*2*
Tl2HgPd2 | PBE | optimized geometry

a = 8.398 Å, b = 8.398 Å, c = 3.079 Å
α = 90.00°, β = 90.00°, γ = 90.00°
Sites, in units of the cell vectors:
Tl: 0.330 0.830 0.000
Tl: 0.830 0.670 0.000
Tl: 0.670 0.170 0.000
Tl: 0.170 0.330 0.000
Hg: 0.000 0.000 0.000
Hg: 0.500 0.500 0.000
Pd: 0.124 0.624 0.500
Pd: 0.624 0.876 0.500
Pd: 0.876 0.376 0.500
Pd: 0.376 0.124 0.500

Calculated volume in Å³/f.u.: 109
Symmetry: P4/mbm (127)
DOS(E_F) in states/eV/atom: 0.371

---

Least stable = *1*